Entry 1:
An optimized crystal structure of LaGdO2, computed with PBE.

POSCAR file:
```
LaGdO2
1.0
3.538 0.000 0.000
1.769 3.064 0.000
1.769 1.021 5.911
Gd O La
1 2 1
Direct
0.500 0.500 0.500
0.762 0.762 0.715
0.238 0.238 0.285
0.000 0.000 0.000
```

Properties
SG ... R-3m (166)
Energy relative to the elements, uncorrected ... -2.86 eV/atom


Entry 2:
An optimized crystal structure of VFeReIr, computed with PBE.

POSCAR file:
```
VFeReIr
1.0
4.262 0.000 0.000
2.131 3.691 0.000
2.131 1.230 3.480
Re Fe V Ir
1 1 1 1
Direct
0.500 0.500 0.500
0.750 0.750 0.750
0.250 0.250 0.250
0.000 0.000 0.000
```

Properties
Formation energy from the elements ... -11 kJ per mole of atoms
SG ... F-43m (216)


Entry 3:
An optimized crystal structure of Nd3BeIr2, computed with PBE.

POSCAR file:
```
Nd3BeIr2
1.0
-3.036 2.583 -0.527
-6.768 -8.872 -4.483
-3.871 -2.391 10.577
Ir Nd Be
8 12 4
Direct
0.750 0.322 0.539
0.250 0.474 0.807
0.750 0.974 0.693
0.250 0.026 0.307
0.250 0.822 0.961
0.750 0.526 0.193
0.750 0.178 0.039
0.250 0.678 0.461
0.250 0.699 0.200
0.750 0.620 0.936
0.250 0.801 0.700
0.750 0.301 0.800
0.750 0.556 0.625
0.250 0.056 0.875
0.250 0.444 0.375
0.750 0.944 0.125
0.750 0.880 0.436
0.750 0.199 0.300
0.250 0.120 0.564
0.250 0.380 0.064
0.250 0.131 0.127
0.250 0.369 0.627
0.750 0.869 0.873
0.750 0.631 0.373
```

Properties
Formation energy from the elements ... -55 kJ per mole of atoms
SG ... Pnma (62)


Entry 4:
An optimized crystal structure of VInSi2Cl, computed with PBE.

POSCAR file:
```
VInSi2Cl
1.0
4.901 0.000 0.000
0.000 4.498 0.000
0.000 0.000 4.901
In V Si Cl
1 1 2 1
Direct
0.500 0.500 0.500
0.000 0.500 0.000
0.000 0.000 0.500
0.500 0.000 0.000
0.000 0.000 0.000
```

Properties
SG ... P4/mmm (123)
Energy relative to the elements, uncorrected ... 0.93 eV/atom


Entry 5:
An optimized crystal structure of BaErCu10, computed with PBE.

POSCAR file:
```
BaErCu10
1.0
-3.652 -0.795 -1.523
2.117 -0.608 -4.759
1.228 -8.857 1.677
Cu Er Ba
10 1 1
Direct
0.500 0.761 0.231
0.000 0.000 0.684
0.000 0.000 0.316
0.500 0.500 0.000
0.500 0.761 0.769
0.000 0.500 0.846
0.500 0.239 0.231
0.500 0.239 0.769
0.000 0.500 0.154
0.500 0.000 0.500
0.000 0.000 0.000
0.000 0.500 0.500
```

Properties
Formation energy from the elements ... -8 kJ per mole of atoms
SG ... Pmmm (47)


Entry 6:
An optimized crystal structure of NaCr2S, computed with PBE.

POSCAR file:
```
NaCr2S
1.0
-4.192 -0.105 0.463
0.381 -3.199 2.724
-1.345 3.801 7.919
S Cr Na
2 4 2
Direct
0.000 0.000 0.000
0.750 0.250 0.500
0.875 0.075 0.750
0.375 0.175 0.750
0.925 0.625 0.250
0.825 0.125 0.250
0.500 0.500 0.000
0.250 0.750 0.500
```

Properties
SG ... I-42d (122)
Energy relative to the elements, uncorrected ... 0.49 eV/atom